Pa2CrFeO8 | PBE+U | relaxed

Cell: 6.6865 6.8022 6.9541 Å, 90.00 90.01 90.00°
With the nearest neighbours (Å) after each atom.
Space group C2/m (No. 12)
Asymmetric unit:
Pa (0.0011, 0.0000, 0.2508)  6 O 2.14-2.21
Cr (0.0000, 0.5000, 0.5000)  6 O 2.00-2.13
Fe (0.0000, 0.5000, 0.0000)  6 O 1.99-2.17
O (0.0008, 0.3145, 0.7466)  1 Cr 2.13, 1 Pa 2.14, 1 Fe 2.17
O (0.2011, 0.0000, 0.5008)  1 Cr 2.00, 2 Pa 2.19
O (0.2028, 0.0000, 0.9992)  1 Fe 1.99, 2 Pa 2.21

E_tot in eV per atom: -8.71